CaLaCrCoO6 (PBE with a Hubbard U, optimized geometry); V = 223.5 Å³ per cell; size of the total moment = 1.94 μB per formula unit; electronic total energy = -71.33 eV per formula unit
1.0
5.4367 0.0000 0.0000
0.0000 5.3953 0.0122
0.0000 5.3760 7.6301
La O Cr Ca Co
2 12 2 2 2
direct
0.2208 0.2558 0.2499 La
0.7792 0.2558 0.7499 La
0.0384 0.7533 0.5375 O
0.9616 0.7533 0.0375 O
0.5307 0.6828 0.5350 O
0.2363 0.1749 0.7508 O
0.4642 0.2491 0.4672 O
0.7637 0.1749 0.2508 O
0.7330 0.8142 0.7497 O
0.9612 0.3273 0.4601 O
0.4693 0.6828 0.0350 O
0.2670 0.8142 0.2497 O
0.0388 0.3273 0.9601 O
0.5358 0.2491 0.9672 O
0.7491 0.0006 0.4995 Cr
0.2509 0.0006 0.9995 Cr
0.7088 0.7422 0.2497 Ca
0.2912 0.7422 0.7497 Ca
0.7519 0.4999 0.0006 Co
0.2481 0.4999 0.5006 Co